This record from Alexandria via LeMat-Bulk describes an optimized crystal structure of Dy2Tm5Sc4. The functional is PBE.

Unit cell a=3.414 b=7.442 c=16.795 alpha=129.47 beta=95.83 gamma=90.00
Sites, in units of the cell vectors:
Dy1 0.211 0.528 0.422
Dy2 0.789 0.472 0.578
Sc1 0.379 0.550 0.759
Sc2 0.909 0.984 0.818
Sc3 0.621 0.450 0.241
Sc4 0.091 0.016 0.182
Tm1 0.954 0.517 0.909
Tm2 0.806 0.044 0.611
Tm3 0.500 0.000 0.000
Tm4 0.046 0.483 0.091
Tm5 0.194 0.956 0.389

DOS at the Fermi energy in states/eV/cell: 16.7
SG: No. 12
Energy relative to the lowest polymorph listed for this composition in kJ per mole of atoms: 10.4

This record from Alexandria via LeMat-Bulk describes an optimized crystal structure of Dy7Tm12Sc. The functional is PBE.

Unit cell a=6.565 b=10.833 c=10.833 alpha=63.97 beta=78.35 gamma=101.65
Sites, in units of the cell vectors:
Tm1 0.491 0.787 0.425
Tm2 0.296 0.213 0.213
Tm3 0.916 0.425 0.787
Tm4 0.509 0.213 0.575
Tm5 0.201 0.937 0.544
Tm6 0.084 0.575 0.213
Tm7 0.704 0.787 0.787
Tm8 0.745 0.544 0.519
Tm9 0.736 0.481 0.063
Tm10 0.799 0.063 0.456
Tm11 0.255 0.456 0.481
Tm12 0.264 0.519 0.937
Sc1 0.000 0.000 0.000
Dy1 0.642 0.700 0.166
Dy2 0.807 0.166 0.134
Dy3 0.500 0.000 0.000
Dy4 0.941 0.134 0.700
Dy5 0.059 0.866 0.300
Dy6 0.193 0.834 0.866
Dy7 0.358 0.300 0.834

DOS at the Fermi energy in states/eV/cell: 26.9
SG: No. 148
Energy relative to the lowest polymorph listed for this composition in kJ per mole of atoms: 3.2

This record from Alexandria via LeMat-Bulk describes an optimized crystal structure of Dy5Tm4Sc4. The functional is PBE.

Unit cell a=4.865 b=9.096 c=9.096 alpha=85.90 beta=74.49 gamma=74.49
Sites, in units of the cell vectors:
Tm1 0.383 0.696 0.539
Tm2 0.078 0.539 0.304
Tm3 0.922 0.461 0.696
Tm4 0.617 0.304 0.461
Dy1 0.693 0.849 0.765
Dy2 0.542 0.765 0.151
Dy3 0.307 0.151 0.235
Dy4 0.458 0.235 0.849
Dy5 0.000 0.000 0.000
Sc1 0.845 0.923 0.388
Sc2 0.233 0.612 0.923
Sc3 0.767 0.388 0.077
Sc4 0.155 0.077 0.612

DOS at the Fermi energy in states/eV/cell: 19.8
SG: No. 87

This record from Alexandria via LeMat-Bulk describes an optimized crystal structure of Dy2TmSc. The functional is PBE.

Unit cell a=3.488 b=6.043 c=12.353 alpha=114.07 beta=98.11 gamma=89.98
Sites, in units of the cell vectors:
Dy1 0.413 0.349 0.312
Dy2 0.172 0.946 0.829
Dy3 0.913 0.849 0.312
Dy4 0.672 0.446 0.829
Sc1 0.293 0.482 0.072
Sc2 0.794 0.982 0.072
Tm1 0.542 0.898 0.570
Tm2 0.041 0.398 0.570

DOS at the Fermi energy in states/eV/cell: 13.1
SG: No. 160
Energy relative to the lowest polymorph listed for this composition in kJ per mole of atoms: 0.0

This record from Alexandria via LeMat-Bulk describes an optimized crystal structure of Dy14TmSc. The functional is PBE.

Unit cell a=7.049 b=7.049 c=9.945 alpha=90.00 beta=90.00 gamma=90.01
Sites, in units of the cell vectors:
Dy1 0.624 0.376 0.248
Dy2 0.624 0.874 0.247
Dy3 0.375 0.625 0.500
Dy4 0.126 0.376 0.247
Dy5 0.624 0.874 0.753
Dy6 0.126 0.376 0.753
Dy7 0.875 0.625 0.500
Dy8 0.126 0.874 0.753
Dy9 0.126 0.874 0.247
Dy10 0.875 0.125 0.500
Dy11 0.875 0.625 0.000
Dy12 0.624 0.376 0.752
Dy13 0.375 0.125 0.000
Dy14 0.375 0.125 0.500
Sc1 0.375 0.625 0.000
Tm1 0.875 0.125 0.000

DOS at the Fermi energy in states/eV/cell: 19.7
SG: No. 123

This record from Alexandria via LeMat-Bulk describes an optimized crystal structure of Dy7Tm3Sc2. The functional is PBE.

Unit cell a=3.506 b=5.686 c=18.726 alpha=103.88 beta=90.00 gamma=90.00
Sites, in units of the cell vectors:
Tm1 0.000 0.144 0.366
Tm2 0.000 0.856 0.634
Tm3 0.500 0.500 0.000
Dy1 0.000 0.463 0.147
Dy2 0.500 0.720 0.462
Dy3 0.500 0.998 0.185
Dy4 0.000 0.537 0.853
Dy5 0.000 0.000 0.000
Dy6 0.500 0.002 0.815
Dy7 0.500 0.280 0.538
Sc1 0.500 0.585 0.296
Sc2 0.500 0.415 0.704

DOS at the Fermi energy in states/eV/cell: 16.9
SG: No. 10
Energy relative to the lowest polymorph listed for this composition in kJ per mole of atoms: 0.0

Number 1: energy of formation 0.223 eV per atom, DFT total energy -4.9489 eV/atom. Number 2: energy of formation 0.328 eV per atom, DFT total energy -4.2826 eV/atom. Number 3: energy of formation 0.044 eV per atom, DFT total energy -5.0497 eV/atom. Number 4: energy of formation 0.032 eV per atom, DFT total energy -4.9697 eV/atom. Number 5: energy of formation 0.023 eV per atom, DFT total energy -4.6794 eV/atom. Number 6: energy of formation 0.104 eV per atom, DFT total energy -4.7540 eV/atom.